(1)
First-principles (SCAN) data for a PBEsol-optimized structure of TbBO3, as listed in the Alexandria database. Values from VASP.

Cell and atoms, written as Quantum ESPRESSO input:
```
&SYSTEM
  ibrav = 0, nat = 10, ntyp = 3
/
ATOMIC_SPECIES
O 16.00 O.upf
B 10.81 B.upf
Tb 158.93 Tb.upf
CELL_PARAMETERS angstrom
-2.024 2.364 2.300
-2.118 -1.507 -2.867
-2.053 -6.620 4.996
ATOMIC_POSITIONS crystal
O 0.327 0.667 0.104
O 0.667 0.327 0.896
O 0.327 0.667 0.396
O 0.667 0.327 0.604
O 0.000 0.866 0.750
O 0.866 0.000 0.250
B 0.494 0.766 0.250
B 0.766 0.494 0.750
Tb 0.062 0.062 0.500
Tb 0.062 0.062 0.000
```

Values from the calculation:
Space-group type: Ama2
Total energy, eV/atom: -17.900
E_form (uncorrected), meV/atom: -3323.3
Magnetic moment, Bohr magnetons per cell: 0.0

(2)
First-principles (SCAN) data for a PBEsol-optimized structure of LiAuSe2, as listed in the Alexandria database. Values from VASP.

Cell and atoms, written as Quantum ESPRESSO input:
```
&SYSTEM
  ibrav = 0, nat = 4, ntyp = 3
/
ATOMIC_SPECIES
Se 78.96 Se.upf
Li 6.94 Li.upf
Au 196.97 Au.upf
CELL_PARAMETERS angstrom
-1.174 -2.440 0.709
4.658 -1.784 1.574
-0.922 1.839 4.811
ATOMIC_POSITIONS crystal
Se 0.877 0.500 0.375
Se 0.875 0.000 0.875
Li 0.370 0.500 0.876
Au 0.878 0.000 0.375
```

Values from the calculation:
Space-group type: Pm
Total energy, eV/atom: -28.346
E_form (uncorrected), meV/atom: -420.5
Magnetic moment, Bohr magnetons per cell: 0.0

(3)
First-principles (SCAN) data for a PBEsol-optimized structure of CdReSe2, as listed in the Alexandria database. Values from VASP.

Cell and atoms, written as Quantum ESPRESSO input:
```
&SYSTEM
  ibrav = 0, nat = 4, ntyp = 3
/
ATOMIC_SPECIES
Se 78.96 Se.upf
Cd 112.41 Cd.upf
Re 186.21 Re.upf
CELL_PARAMETERS angstrom
4.583 0.000 0.000
2.292 3.969 0.000
2.292 1.323 3.742
ATOMIC_POSITIONS crystal
Se 0.250 0.250 0.250
Se 0.750 0.750 0.750
Cd 0.000 0.000 0.000
Re 0.500 0.500 0.500
```

Values from the calculation:
Space-group type: Fm-3m
Total energy, eV/atom: -34.845
E_form (uncorrected), meV/atom: 572.1
Magnetic moment, Bohr magnetons per cell: 0.0

(4)
First-principles (SCAN) data for a PBEsol-optimized structure of NiHgBr2, as listed in the Alexandria database. Values from VASP.

Cell and atoms, written as Quantum ESPRESSO input:
```
&SYSTEM
  ibrav = 0, nat = 4, ntyp = 3
/
ATOMIC_SPECIES
Hg 200.59 Hg.upf
Ni 58.69 Ni.upf
Br 79.90 Br.upf
CELL_PARAMETERS angstrom
3.811 0.000 0.000
0.000 3.839 0.000
0.000 0.000 6.347
ATOMIC_POSITIONS crystal
Hg 0.500 0.500 0.000
Ni 0.000 0.500 0.500
Br 0.500 0.000 0.500
Br 0.000 0.000 0.000
```

Values from the calculation:
E above lowest polymorph, eV per atom: 0.4244
Space-group type: Pmmm
Total energy, eV/atom: -30.622
E_form (uncorrected), meV/atom: 192.6
Magnetic moment, Bohr magnetons per cell: 1.0

(5)
First-principles (SCAN) data for a PBEsol-optimized structure of CaMnPb2, as listed in the Alexandria database. Values from VASP.

Cell and atoms, written as Quantum ESPRESSO input:
```
&SYSTEM
  ibrav = 0, nat = 4, ntyp = 3
/
ATOMIC_SPECIES
Mn 54.94 Mn.upf
Pb 207.20 Pb.upf
Ca 40.08 Ca.upf
CELL_PARAMETERS angstrom
-3.005 -0.730 -1.594
2.232 -0.838 -3.825
1.634 -5.889 2.244
ATOMIC_POSITIONS crystal
Mn 0.000 0.500 0.500
Pb 0.851 0.000 0.728
Pb 0.149 0.000 0.272
Ca 0.500 0.500 0.000
```

Values from the calculation:
Space-group type: P2/m
Total energy, eV/atom: -45.123
ΔH_f (0 K), eV/atom: -0.252
Magnetic moment, Bohr magnetons per cell: 4.1

(6)
First-principles (SCAN) data for a PBEsol-optimized structure of CoOsCl2, as listed in the Alexandria database. Values from VASP.

Cell and atoms, written as Quantum ESPRESSO input:
```
&SYSTEM
  ibrav = 0, nat = 4, ntyp = 3
/
ATOMIC_SPECIES
Cl 35.45 Cl.upf
Co 58.93 Co.upf
Os 190.23 Os.upf
CELL_PARAMETERS angstrom
2.962 0.000 0.000
0.000 4.283 0.031
0.000 -0.027 4.283
ATOMIC_POSITIONS crystal
Cl 0.000 0.000 0.500
Cl 0.000 0.500 0.000
Co 0.500 0.000 0.000
Os 0.500 0.500 0.500
```

Values from the calculation:
E above lowest polymorph, eV per atom: 0.8558
Space-group type: P4/mmm
Total energy, eV/atom: -25.059
E_form (uncorrected), meV/atom: 1226.0
Magnetic moment, Bohr magnetons per cell: 2.1

(7)
First-principles (SCAN) data for a PBEsol-optimized structure of GaWC3, as listed in the Alexandria database. Values from VASP.

Cell and atoms, written as Quantum ESPRESSO input:
```
&SYSTEM
  ibrav = 0, nat = 5, ntyp = 3
/
ATOMIC_SPECIES
Ga 69.72 Ga.upf
C 12.01 C.upf
W 183.84 W.upf
CELL_PARAMETERS angstrom
-3.428 0.903 1.345
-0.221 -3.379 1.705
1.604 1.463 3.108
ATOMIC_POSITIONS crystal
Ga 0.000 0.000 0.000
C 0.000 0.000 0.500
C 0.000 0.500 0.000
C 0.500 0.000 0.000
W 0.500 0.500 0.500
```

Values from the calculation:
Space-group type: Pm-3m
Total energy, eV/atom: -20.234
ΔH_f (0 K), eV/atom: 3.033
Magnetic moment, Bohr magnetons per cell: 0.0

(8)
First-principles (SCAN) data for a PBEsol-optimized structure of KTc2Cl, as listed in the Alexandria database. Values from VASP.

Cell and atoms, written as Quantum ESPRESSO input:
```
&SYSTEM
  ibrav = 0, nat = 4, ntyp = 3
/
ATOMIC_SPECIES
Tc 98.00 Tc.upf
Cl 35.45 Cl.upf
K 39.10 K.upf
CELL_PARAMETERS angstrom
-2.266 1.193 -3.678
-4.332 1.111 0.299
-1.264 4.262 -0.569
ATOMIC_POSITIONS crystal
Tc 0.250 0.250 0.250
Tc 0.750 0.750 0.750
Cl 0.000 0.000 0.000
K 0.500 0.500 0.500
```

Values from the calculation:
E above lowest polymorph, eV per atom: 1.4012
Space-group type: Fm-3m
Total energy, eV/atom: -19.498
E_form (uncorrected), meV/atom: 2108.5
Magnetic moment, Bohr magnetons per cell: 5.0

(9)
First-principles (SCAN) data for a PBEsol-optimized structure of BaRhC2I, as listed in the Alexandria database. Values from VASP.

Cell and atoms, written as Quantum ESPRESSO input:
```
&SYSTEM
  ibrav = 0, nat = 5, ntyp = 4
/
ATOMIC_SPECIES
I 126.90 I.upf
C 12.01 C.upf
Ba 137.33 Ba.upf
Rh 102.91 Rh.upf
CELL_PARAMETERS angstrom
-1.866 -3.874 1.675
3.912 -2.274 -0.903
1.884 1.255 5.001
ATOMIC_POSITIONS crystal
I 0.500 0.500 0.500
C 0.000 0.500 0.000
C 0.500 0.000 0.000
Ba 0.000 0.000 0.000
Rh 0.000 0.000 0.500
```

Values from the calculation:
Space-group type: P4/mmm
Total energy, eV/atom: -23.261
E_form (uncorrected), meV/atom: 2791.1
Magnetic moment, Bohr magnetons per cell: 2.9

(10)
First-principles (SCAN) data for a PBEsol-optimized structure of LaSc2, as listed in the Alexandria database. Values from VASP.

Cell and atoms, written as Quantum ESPRESSO input:
```
&SYSTEM
  ibrav = 0, nat = 6, ntyp = 2
/
ATOMIC_SPECIES
Sc 44.96 Sc.upf
La 138.91 La.upf
CELL_PARAMETERS angstrom
5.376 0.000 0.000
0.000 5.883 0.000
0.000 -2.942 5.095
ATOMIC_POSITIONS crystal
Sc 0.500 0.000 0.326
Sc 0.000 0.000 0.000
Sc 0.500 0.326 0.000
Sc 0.500 0.674 0.674
La 0.000 0.667 0.333
La 0.000 0.333 0.667
```

Values from the calculation:
E above lowest polymorph, eV per atom: 0.0368
Space-group type: P-62m
Total energy, eV/atom: -23.756
ΔH_f (0 K), eV/atom: 0.104
Magnetic moment, Bohr magnetons per cell: 0.9

(11)
First-principles (SCAN) data for a PBEsol-optimized structure of Sc2BrCl, as listed in the Alexandria database. Values from VASP.

Cell and atoms, written as Quantum ESPRESSO input:
```
&SYSTEM
  ibrav = 0, nat = 4, ntyp = 3
/
ATOMIC_SPECIES
Sc 44.96 Sc.upf
Cl 35.45 Cl.upf
Br 79.90 Br.upf
CELL_PARAMETERS angstrom
-1.973 -2.019 -2.038
-1.370 -2.940 1.265
-8.636 3.001 2.415
ATOMIC_POSITIONS crystal
Sc 0.752 0.752 0.745
Sc 0.995 0.995 0.015
Cl 0.270 0.270 0.189
Br 0.483 0.483 0.551
```

Values from the calculation:
E above lowest polymorph, eV per atom: 0.0000
Space-group type: R3m
Total energy, eV/atom: -15.436
E_form (uncorrected), meV/atom: -1457.7
Magnetic moment, Bohr magnetons per cell: 1.6

(12)
First-principles (SCAN) data for a PBEsol-optimized structure of YMg2Si2, as listed in the Alexandria database. Values from VASP.

Cell and atoms, written as Quantum ESPRESSO input:
```
&SYSTEM
  ibrav = 0, nat = 5, ntyp = 3
/
ATOMIC_SPECIES
Si 28.09 Si.upf
Mg 24.30 Mg.upf
Y 88.91 Y.upf
CELL_PARAMETERS angstrom
-1.770 3.722 -0.308
-1.225 -0.257 3.938
6.421 0.749 -0.122
ATOMIC_POSITIONS crystal
Si 0.601 0.601 0.201
Si 0.399 0.399 0.799
Mg 0.250 0.750 0.500
Mg 0.750 0.250 0.500
Y 0.000 0.000 0.000
```

Values from the calculation:
Space-group type: I4/mmm
Total energy, eV/atom: -11.959
E_form (uncorrected), meV/atom: -395.0
Magnetic moment, Bohr magnetons per cell: 0.0

(13)
First-principles (SCAN) data for a PBEsol-optimized structure of Al2SbMo, as listed in the Alexandria database. Values from VASP.

Cell and atoms, written as Quantum ESPRESSO input:
```
&SYSTEM
  ibrav = 0, nat = 4, ntyp = 3
/
ATOMIC_SPECIES
Al 26.98 Al.upf
Mo 95.94 Mo.upf
Sb 121.76 Sb.upf
CELL_PARAMETERS angstrom
3.483 0.000 0.000
0.000 3.483 0.000
0.000 0.000 5.649
ATOMIC_POSITIONS crystal
Al 0.000 0.000 0.016
Al 0.500 0.500 0.258
Mo 0.000 0.000 0.483
Sb 0.500 0.500 0.744
```

Values from the calculation:
Space-group type: P4mm
Total energy, eV/atom: -21.867
E_form (uncorrected), meV/atom: 45.8
Magnetic moment, Bohr magnetons per cell: 0.0

(14)
First-principles (SCAN) data for a PBEsol-optimized structure of Cu2RePt, as listed in the Alexandria database. Values from VASP.

Cell and atoms, written as Quantum ESPRESSO input:
```
&SYSTEM
  ibrav = 0, nat = 4, ntyp = 3
/
ATOMIC_SPECIES
Cu 63.55 Cu.upf
Re 186.21 Re.upf
Pt 195.08 Pt.upf
CELL_PARAMETERS angstrom
-1.708 -1.724 -1.068
1.790 -3.289 2.448
-2.983 0.876 3.357
ATOMIC_POSITIONS crystal
Cu 0.000 0.000 0.000
Cu 0.500 0.000 0.500
Re 0.000 0.500 0.500
Pt 0.500 0.500 0.000
```

Values from the calculation:
E above lowest polymorph, eV per atom: 0.1810
Space-group type: Pmmm
Total energy, eV/atom: -42.733
ΔH_f (0 K), eV/atom: 0.190
Magnetic moment, Bohr magnetons per cell: 0.0

(15)
First-principles (SCAN) data for a PBEsol-optimized structure of Zn2AgPt, as listed in the Alexandria database. Values from VASP.

Cell and atoms, written as Quantum ESPRESSO input:
```
&SYSTEM
  ibrav = 0, nat = 4, ntyp = 3
/
ATOMIC_SPECIES
Zn 65.41 Zn.upf
Pt 195.08 Pt.upf
Ag 107.87 Ag.upf
CELL_PARAMETERS angstrom
2.824 0.000 0.000
0.000 4.558 0.093
0.000 -0.909 4.467
ATOMIC_POSITIONS crystal
Zn 0.000 0.000 0.500
Zn 0.000 0.500 0.000
Pt 0.500 0.000 0.000
Ag 0.500 0.500 0.500
```

Values from the calculation:
Space-group type: Cmmm
Total energy, eV/atom: -32.464
ΔH_f (0 K), eV/atom: -0.316
Magnetic moment, Bohr magnetons per cell: 0.0

(16)
First-principles (SCAN) data for a PBEsol-optimized structure of LiTaCu2, as listed in the Alexandria database. Values from VASP.

Cell and atoms, written as Quantum ESPRESSO input:
```
&SYSTEM
  ibrav = 0, nat = 4, ntyp = 3
/
ATOMIC_SPECIES
Cu 63.55 Cu.upf
Li 6.94 Li.upf
Ta 180.95 Ta.upf
CELL_PARAMETERS angstrom
2.536 0.000 0.000
-1.268 4.151 -0.001
0.000 -0.560 5.196
ATOMIC_POSITIONS crystal
Cu 0.749 0.498 0.773
Cu 0.251 0.502 0.227
Li 0.500 0.000 0.000
Ta 0.000 0.000 0.500
```

Values from the calculation:
Space-group type: C2/m
Total energy, eV/atom: -24.546
ΔH_f (0 K), eV/atom: 0.297
Magnetic moment, Bohr magnetons per cell: 0.0

(17)
First-principles (SCAN) data for a PBEsol-optimized structure of AgIr2PbC, as listed in the Alexandria database. Values from VASP.

Cell and atoms, written as Quantum ESPRESSO input:
```
&SYSTEM
  ibrav = 0, nat = 5, ntyp = 4
/
ATOMIC_SPECIES
Ir 192.22 Ir.upf
Ag 107.87 Ag.upf
C 12.01 C.upf
Pb 207.20 Pb.upf
CELL_PARAMETERS angstrom
4.825 0.000 0.000
0.000 4.825 0.000
0.000 0.000 5.063
ATOMIC_POSITIONS crystal
Ir 0.000 0.500 0.000
Ir 0.500 0.000 0.000
Ag 0.000 0.000 0.000
C 0.500 0.500 0.500
Pb 0.000 0.000 0.500
```

Values from the calculation:
Space-group type: P4/mmm
Total energy, eV/atom: -48.690
ΔH_f (0 K), eV/atom: 3.199
Magnetic moment, Bohr magnetons per cell: 0.3

(18)
First-principles (SCAN) data for a PBEsol-optimized structure of RbTcCl2, as listed in the Alexandria database. Values from VASP.

Cell and atoms, written as Quantum ESPRESSO input:
```
&SYSTEM
  ibrav = 0, nat = 4, ntyp = 3
/
ATOMIC_SPECIES
Tc 98.00 Tc.upf
Rb 85.47 Rb.upf
Cl 35.45 Cl.upf
CELL_PARAMETERS angstrom
-1.562 3.505 1.404
-1.680 0.142 3.722
6.679 3.302 5.132
ATOMIC_POSITIONS crystal
Tc 0.000 0.000 0.000
Rb 0.500 0.500 0.500
Cl 0.911 0.911 0.266
Cl 0.089 0.089 0.734
```

Values from the calculation:
Space-group type: R-3m
Total energy, eV/atom: -18.473
E_form (uncorrected), meV/atom: -534.3
Magnetic moment, Bohr magnetons per cell: 4.0

(19)
First-principles (SCAN) data for a PBEsol-optimized structure of BeSi3Sn, as listed in the Alexandria database. Values from VASP.

Cell and atoms, written as Quantum ESPRESSO input:
```
&SYSTEM
  ibrav = 0, nat = 5, ntyp = 3
/
ATOMIC_SPECIES
Be 9.01 Be.upf
Si 28.09 Si.upf
Sn 118.71 Sn.upf
CELL_PARAMETERS angstrom
4.398 0.000 0.000
0.000 4.398 0.000
0.000 0.000 4.398
ATOMIC_POSITIONS crystal
Be 0.000 0.000 0.000
Si 0.000 0.000 0.500
Si 0.500 0.000 0.000
Si 0.000 0.500 0.000
Sn 0.500 0.500 0.500
```

Values from the calculation:
Space-group type: Pm-3m
Total energy, eV/atom: -13.268
E_form (uncorrected), meV/atom: 796.4
Magnetic moment, Bohr magnetons per cell: 0.0

(20)
First-principles (SCAN) data for a PBEsol-optimized structure of Be2GaSnTe, as listed in the Alexandria database. Values from VASP.

Cell and atoms, written as Quantum ESPRESSO input:
```
&SYSTEM
  ibrav = 0, nat = 5, ntyp = 4
/
ATOMIC_SPECIES
Ga 69.72 Ga.upf
Be 9.01 Be.upf
Te 127.60 Te.upf
Sn 118.71 Sn.upf
CELL_PARAMETERS angstrom
-3.470 2.705 -0.057
-2.609 -3.370 -1.091
-0.896 -1.037 5.344
ATOMIC_POSITIONS crystal
Ga 0.000 0.000 0.000
Be 0.000 0.500 0.000
Be 0.500 0.000 0.000
Te 0.500 0.500 0.500
Sn 0.000 0.000 0.500
```

Values from the calculation:
Space-group type: P4/mmm
Total energy, eV/atom: -19.105
E_form (uncorrected), meV/atom: 539.7
Magnetic moment, Bohr magnetons per cell: 0.0